This record from Alexandria via LeMat-Bulk describes a geometry-optimized HfFeIO2 structure. The functional is PBE+U.

Results
Volume (Å³ per atom): 20.1
Energy (eV per atom): -6.791

Lattice parameters (Å, degrees): 4.040 4.040 6.156 90.00 90.00 90.00
Each line ends with the local moment (μB).
Atoms (fractional coordinates):
I: 0.000 0.000 0.500  -0.01
Hf: 0.000 0.000 0.000  0.00
Fe: 0.500 0.500 0.500  2.87
O: 0.000 0.500 0.000  0.00
O: 0.500 0.000 0.000  0.00